Computed, not measured: a relaxed K2Ga9Pt3 crystal at the PBE level of DFT.

```
K2Ga9Pt3
1.0
6.7388 -3.8745 0.0000
6.7388 3.8745 0.0000
-4.5518 0.0000 9.9709
K Ga Pt
4 18 6
Cartesian
1.1303 0.6486 2.4820
-1.1456 -0.6486 7.4674
10.0714 0.6486 2.5035
7.7955 -0.6486 7.4889
5.6051 3.2224 0.7414
5.5967 3.2224 4.2441
1.1092 0.6371 5.6801
4.2283 1.4265 2.5029
1.0771 0.6483 9.3668
3.3851 -0.6371 0.6947
3.3250 0.9437 7.4782
6.9734 1.4265 2.4826
3.3529 -0.6483 4.3814
5.5729 0.6483 5.5895
1.9524 -1.4265 7.4883
5.6009 -0.9437 2.4927
5.5408 0.6371 9.2762
7.8488 -0.6483 0.6041
4.6975 -1.4265 7.4680
7.8166 -0.6371 4.2908
3.3292 -3.2224 5.7268
3.3208 -3.2224 9.2295
3.3694 1.9372 0.0000
3.3348 1.9425 4.9809
7.8670 1.9425 0.0045
1.0935 -1.9372 4.9854
1.0589 -1.9425 9.9664
5.5911 -1.9425 4.9900
```

Results
* space group: No. 15
* E_form: -0.40 eV per atom
* volume: 18.6 Å³/atom

Computed, not measured: a relaxed La2Pr6NdHo3 crystal at the PBE level of DFT.

```
La2Pr6NdHo3
1.0
3.1859 -5.5229 0.0000
3.1859 5.5229 0.0000
-2.1256 0.0000 11.9202
La Pr Nd Ho
2 6 1 3
Cartesian
3.1859 3.6833 0.0000
3.1859 -3.6833 0.0000
-0.0028 1.8398 8.8672
1.0647 0.0000 3.0524
-0.0028 -1.8398 8.8672
4.2490 1.8398 3.0531
3.1815 0.0000 8.8678
4.2490 -1.8398 3.0531
3.1859 0.0000 0.0000
-1.0628 0.0000 5.9601
2.1231 1.8394 5.9601
2.1231 -1.8394 5.9601
```

Results
* space group: No. 12
* E_form: 0.02 eV per atom
* volume: 35.0 Å³/atom

Computed, not measured: a relaxed DyCrW2C4 crystal at the PBE level of DFT.

```
DyCrW2C4
1.0
1.5938 -5.4548 0.0000
1.5938 5.4548 0.0000
0.0000 0.0000 10.6995
Dy Cr W C
2 2 4 8
Cartesian
1.5938 4.2854 8.0246
1.5938 -4.2854 2.6749
1.5938 3.7210 2.6749
1.5938 -3.7210 8.0246
1.5938 1.3719 5.7671
1.5938 1.3719 10.2822
1.5938 -1.3719 0.4174
1.5938 -1.3719 4.9324
0.0000 0.0000 0.0000
0.0000 0.0000 5.3498
1.5938 2.5722 1.2211
1.5938 2.5722 4.1287
1.5938 0.7122 8.0246
1.5938 -0.7122 2.6749
1.5938 -2.5722 6.5708
1.5938 -2.5722 9.4784
```

Results
* space group: No. 63
* E_form: -0.06 eV per atom
* volume: 11.6 Å³/atom

Computed, not measured: a relaxed Ho4PRhSe2 crystal at the PBE level of DFT.

```
Ho4PRhSe2
1.0
7.0262 0.0000 0.0000
0.0000 3.9859 0.0000
-2.2620 0.0000 6.7412
Ho P Rh Se
4 1 1 2
Cartesian
1.1730 0.0000 1.5315
0.0334 1.9929 5.2137
4.7307 1.9929 1.5274
3.5912 0.0000 5.2096
3.5131 0.0000 0.0000
0.0000 1.9929 0.0000
-1.1310 0.0000 3.3706
2.3821 1.9929 3.3706
```

Results
* space group: No. 10
* volume: 23.6 Å³/atom
* formation energy (no corrections): -11.706 eV per formula unit

Computed, not measured: a relaxed CeHoBi crystal at the PBE level of DFT.

```
CeHoBi
1.0
-2.0493 2.0493 5.3529
2.0493 -2.0493 5.3529
2.0493 2.0493 -5.3529
Ce Ho Bi
1 1 1
Cartesian
0.0000 0.0000 0.0000
0.0000 0.0000 3.2974
0.0000 0.0000 7.1058
```

Results
* space group: No. 107
* E_form: -0.38 eV per atom
* volume: 30.0 Å³/atom

Computed, not measured: a relaxed Na2As2Au3 crystal at the PBE level of DFT.

```
Na2As2Au3
1.0
2.1128 -9.0773 0.0000
2.1128 9.0773 0.0000
0.0000 0.0000 3.8516
Na As Au
2 2 3
Cartesian
2.1128 6.2594 0.0000
2.1128 -6.2594 0.0000
2.1128 3.8841 1.9258
2.1128 -3.8841 1.9258
0.0000 0.0000 0.0000
2.1128 1.3195 1.9258
2.1128 -1.3195 1.9258
```

Results
* space group: No. 65
* E_form: -0.11 eV per atom
* volume: 21.1 Å³/atom

Computed E, in the same sequence as the records: -0.2788 -0.3480 -0.7124 -0.4571 -0.3805 -0.2365 Ry/atom.
Computed size of the total moment, in the same sequence as the records: 0.0000 0.0000 0.0000 0.0000 0.4234 0.0000 μB/atom.